Record 1
VASP calculation (SCAN) on CoPt3O6 at its PBEsol-relaxed geometry.

Cell lengths 6.9882, 9.8688, 3.1899 Å; angles 90.00, 90.00, 90.00 degrees
With the nearest neighbours (Å) after each atom.
Space group Cmmm (No. 65)
Symmetry-distinct sites (fractional):
Co 0.0000 0.0000 0.0000 x2  8 O 2.14-2.34
Pt 0.0000 0.5000 0.0000 x2  4 O 1.96
Pt 0.2500 0.2500 0.5000 x4  6 O 2.02-2.03
O 0.0000 0.1443 0.5000 x4  2 Pt 2.03, 2 Co 2.14
O 0.2170 0.3738 0.0000 x8  3 Pt 1.96-2.02

## Properties
Total moment, μB/f.u.: 3.0
DOS at the Fermi energy, states/eV per cell: 0.47
Raw formation energy, meV per atom: -806

***

Record 2
VASP calculation (SCAN) on MnRu5 at its PBEsol-relaxed geometry.

Cell lengths 4.1913, 2.6672, 13.7903 Å; angles 90.00, 90.00, 90.00 degrees
With the nearest neighbours (Å) after each atom.
Space group Amm2 (No. 38)
Symmetry-distinct sites (fractional):
Mn 0.0000 0.0000 0.0000 x2  10 Ru 2.57-2.62, 2 Mn 2.67
Ru 0.0000 0.0000 0.3362 x2  10 Ru 2.59-2.74, 2 Mn 2.62
Ru 0.0000 0.0000 0.6627 x2  10 Ru 2.60-2.74, 2 Mn 2.61
Ru 0.5000 0.0000 0.1079 x2  2 Mn 2.57, 10 Ru 2.59-2.69
Ru 0.5000 0.0000 0.4466 x2  8 Ru 2.59-2.68, 4 Mn 2.59
Ru 0.5000 0.0000 0.7777 x2  12 Ru 2.61-2.69

## Properties
Total moment, μB/f.u.: 0.0
DOS at the Fermi energy, states/eV per cell: 9.91
Formation energy, eV/atom: 0.045

***

Record 3
VASP calculation (SCAN) on Mo2RuPt at its PBEsol-relaxed geometry.

Cell lengths 2.7362, 2.7362, 27.3676 Å; angles 90.00, 90.00, 120.00 degrees
With the nearest neighbours (Å) after each atom.
Space group R3m (No. 160, hexagonal axes)
Symmetry-distinct sites (fractional):
Mo 0.0000 0.0000 0.0000 x3  3 Ru 2.62, 9 Mo 2.74-2.91
Mo 0.0000 0.0000 0.2441 x3  9 Mo 2.74-2.91, 3 Pt 2.74
Ru 0.0000 0.0000 0.7431 x3  3 Mo 2.62, 6 Ru 2.74, 3 Pt 2.83
Pt 0.0000 0.0000 0.4954 x3  6 Pt 2.74, 3 Mo 2.74, 3 Ru 2.83

## Properties
Offset from the most stable computed form, kJ per mole of atoms: 31.5
Total moment, μB/f.u.: 0.0
DOS at the Fermi energy, states/eV per cell: 8.30
Formation energy, eV/atom: 0.063

***

Record 4
VASP calculation (SCAN) on BeSb2Ru at its PBEsol-relaxed geometry.

Cell lengths 4.4706, 4.4706, 6.8684 Å; angles 90.00, 90.00, 90.00 degrees
With the nearest neighbours (Å) after each atom.
Space group I4/mmm (No. 139)
Symmetry-distinct sites (fractional):
Be 0.0000 0.0000 0.0000 x2  8 Sb 2.82
Sb 0.0000 0.5000 0.2500 x4  4 Ru 2.82, 4 Be 2.82
Ru 0.0000 0.0000 0.5000 x2  8 Sb 2.82

## Properties
Offset from the most stable computed form, kJ per mole of atoms: 0.0
Total moment, μB/f.u.: 0.0
DOS at the Fermi energy, states/eV per cell: 4.05
Raw formation energy, meV per atom: 422